Entry 1:
NdCr2MoO6 PBE with a Hubbard U optimized geometry; size of the total moment = 9.00 μB per formula unit; total DFT energy (no corrections) = -7.847 eV/atom
1.0
5.4600 -0.0048 0.0017
2.7344 4.7255 0.0003
2.7299 1.5743 4.6487
O Cr Nd Mo
6 2 1 1
Direct
0.3490 0.7344 0.7411 O
0.7344 0.1755 0.7411 O
0.2466 0.8818 0.2288 O
0.1756 0.3489 0.7411 O
0.8818 0.6428 0.2288 O
0.6428 0.2468 0.2286 O
0.0120 0.0120 0.9639 Cr
0.5208 0.5208 0.4375 Cr
0.7854 0.7854 0.6438 Nd
0.3132 0.3132 0.0605 Mo

Entry 2:
Nd2CrMoO6 PBE with a Hubbard U optimized geometry; size of the total moment = 6.00 μB per formula unit; total DFT energy (no corrections) = -8.024 eV/atom
1.0
5.5459 0.0000 -0.0232
0.0000 5.8130 0.0000
0.0105 0.0000 7.9803
O Mo Nd Cr
12 2 4 2
Direct
0.2041 0.1929 0.4453 O
0.3920 0.9607 0.7421 O
0.1080 0.4607 0.7579 O
0.1892 0.2077 0.0584 O
0.2959 0.6929 0.0547 O
0.8108 0.7923 0.9416 O
0.7959 0.8071 0.5547 O
0.3108 0.7077 0.4416 O
0.6892 0.2923 0.5584 O
0.8920 0.5393 0.2421 O
0.6080 0.0393 0.2579 O
0.7041 0.3071 0.9453 O
0.5000 0.0000 0.0000 Mo
0.0000 0.5000 0.5000 Mo
0.4826 0.4394 0.2499 Nd
0.0174 0.9394 0.2501 Nd
0.9826 0.0606 0.7499 Nd
0.5174 0.5606 0.7501 Nd
0.5000 0.0000 0.5000 Cr
0.0000 0.5000 0.0000 Cr